! ScTcRu | the Alexandria database | GGA-PBE | relaxed; values from VASP
! Fermi-level density of states: 2.41 states/eV per cell
! Symmetry: P3m1 (156)
! Formation energy: -0.06 eV/atom
! Crystal system: trigonal
! E_tot: -26.140 eV per cell
&SYSTEM
  ibrav = 0, nat = 3, ntyp = 3
/
ATOMIC_SPECIES
Sc 44.96 Sc.upf
Tc 98.00 Tc.upf
Ru 101.07 Ru.upf
CELL_PARAMETERS angstrom
4.386 0.000 0.000
-2.193 3.798 0.000
0.000 0.000 2.855
ATOMIC_POSITIONS angstrom
Sc 0.000 0.000 0.000
Tc 2.193 1.266 0.983
Ru 0.000 2.532 1.874